# SmLuNO GGA-PBE relaxed
# M_tot (Bohr magnetons per cell): 0.00
# Calculated density (Mg/m³): 10.332
# Crystal system: tetragonal
# E above lowest polymorph (meV/atom): 18
data_SmLuNO
_chemical_formula_sum 'Sm2 Lu2 N2 O2'
_cell_length_a 4.881
_cell_length_b 4.881
_cell_length_c 4.794
_cell_angle_alpha 90.00
_cell_angle_beta 90.00
_cell_angle_gamma 90.00
_symmetry_space_group_name_H-M 'P 4/n m m'
_symmetry_Int_Tables_number 129
loop_
_symmetry_equiv_pos_as_xyz
'x,y,z'
'-x,-y,-z'
'-y+1/2,x,z'
'y+1/2,-x,-z'
'-x+1/2,-y+1/2,z'
'x+1/2,y+1/2,-z'
'y,-x+1/2,z'
'-y,x+1/2,-z'
'x+1/2,-y,-z'
'-x+1/2,y,z'
'-y,-x,-z'
'y,x,z'
'-x,y+1/2,-z'
'x,-y+1/2,z'
'y+1/2,x+1/2,-z'
'-y+1/2,-x+1/2,z'
loop_
_atom_site_label
_atom_site_type_symbol
_atom_site_fract_x
_atom_site_fract_y
_atom_site_fract_z
Sm1 Sm 0.250 0.750 0.000
Lu1 Lu 0.250 0.250 0.499
N1 N 0.250 0.250 0.000
O1 O 0.250 0.750 0.500

---

# SmLuNO GGA-PBE relaxed
# M_tot (Bohr magnetons per cell): 0.02
# Calculated density (Mg/m³): 9.020
# Crystal system: orthorhombic
# E above lowest polymorph (meV/atom): 11
data_SmLuNO
_chemical_formula_sum 'Sm4 Lu4 N4 O4'
_cell_length_a 8.047
_cell_length_b 6.628
_cell_length_c 4.906
_cell_angle_alpha 90.00
_cell_angle_beta 90.00
_cell_angle_gamma 90.00
_symmetry_space_group_name_H-M 'P b c m'
_symmetry_Int_Tables_number 57
loop_
_symmetry_equiv_pos_as_xyz
'x,y,z'
'-x,-y,-z'
'-x,-y,z+1/2'
'x,y,-z+1/2'
'x,-y+1/2,-z'
'-x,y+1/2,z'
'-x,y+1/2,-z+1/2'
'x,-y+1/2,z+1/2'
loop_
_atom_site_label
_atom_site_type_symbol
_atom_site_fract_x
_atom_site_fract_y
_atom_site_fract_z
Sm1 Sm 0.126 0.067 0.250
Lu1 Lu 0.379 0.586 0.250
N1 N 0.385 0.580 0.750
O1 O 0.148 0.086 0.750

---

# SmLuNO GGA-PBE relaxed
# M_tot (Bohr magnetons per cell): 0.00
# Calculated density (Mg/m³): 7.487
# Crystal system: tetragonal
# E above lowest polymorph (meV/atom): 345
data_SmLuNO
_chemical_formula_sum 'Sm2 Lu2 N2 O2'
_cell_length_a 4.342
_cell_length_b 4.342
_cell_length_c 8.360
_cell_angle_alpha 90.00
_cell_angle_beta 90.00
_cell_angle_gamma 90.00
_symmetry_space_group_name_H-M 'P 4/n m m'
_symmetry_Int_Tables_number 129
loop_
_symmetry_equiv_pos_as_xyz
'x,y,z'
'-x,-y,-z'
'-y+1/2,x,z'
'y+1/2,-x,-z'
'-x+1/2,-y+1/2,z'
'x+1/2,y+1/2,-z'
'y,-x+1/2,z'
'-y,x+1/2,-z'
'x+1/2,-y,-z'
'-x+1/2,y,z'
'-y,-x,-z'
'y,x,z'
'-x,y+1/2,-z'
'x,-y+1/2,z'
'y+1/2,x+1/2,-z'
'-y+1/2,-x+1/2,z'
loop_
_atom_site_label
_atom_site_type_symbol
_atom_site_fract_x
_atom_site_fract_y
_atom_site_fract_z
Sm1 Sm 0.250 0.250 0.108
Lu1 Lu 0.250 0.750 0.500
N1 N 0.250 0.250 0.562
O1 O 0.250 0.750 0.000

---

# LuTaNO GGA-PBE relaxed
# M_tot (Bohr magnetons per cell): 0.00
# Calculated density (Mg/m³): 13.494
# Crystal system: tetragonal
# E above lowest polymorph (meV/atom): 201
data_LuTaNO
_chemical_formula_sum 'Lu1 Ta1 N1 O1'
_cell_length_a 3.282
_cell_length_b 3.282
_cell_length_c 4.409
_cell_angle_alpha 90.00
_cell_angle_beta 90.00
_cell_angle_gamma 90.00
_symmetry_space_group_name_H-M 'P 4/m m m'
_symmetry_Int_Tables_number 123
_symmetry_space_group_name_Hall '-P 4 2'
loop_
_atom_site_label
_atom_site_type_symbol
_atom_site_fract_x
_atom_site_fract_y
_atom_site_fract_z
Lu1 Lu 0.000 0.000 0.000
Ta1 Ta 0.500 0.500 0.500
N1 N 0.500 0.500 0.000
O1 O 0.000 0.000 0.500

---

# LuTaNO GGA-PBE relaxed
# M_tot (Bohr magnetons per cell): 0.01
# Calculated density (Mg/m³): 10.626
# Crystal system: tetragonal
# E above lowest polymorph (meV/atom): 0
data_LuTaNO
_chemical_formula_sum 'Lu2 Ta2 N2 O2'
_cell_length_a 3.955
_cell_length_b 3.955
_cell_length_c 7.713
_cell_angle_alpha 90.00
_cell_angle_beta 90.00
_cell_angle_gamma 90.00
_symmetry_space_group_name_H-M 'P 4/n m m'
_symmetry_Int_Tables_number 129
loop_
_symmetry_equiv_pos_as_xyz
'x,y,z'
'-x,-y,-z'
'-y+1/2,x,z'
'y+1/2,-x,-z'
'-x+1/2,-y+1/2,z'
'x+1/2,y+1/2,-z'
'y,-x+1/2,z'
'-y,x+1/2,-z'
'x+1/2,-y,-z'
'-x+1/2,y,z'
'-y,-x,-z'
'y,x,z'
'-x,y+1/2,-z'
'x,-y+1/2,z'
'y+1/2,x+1/2,-z'
'-y+1/2,-x+1/2,z'
loop_
_atom_site_label
_atom_site_type_symbol
_atom_site_fract_x
_atom_site_fract_y
_atom_site_fract_z
Lu1 Lu 0.250 0.250 0.124
Ta1 Ta 0.250 0.750 0.500
N1 N 0.250 0.250 0.595
O1 O 0.250 0.750 0.000

---

# LuTaNO GGA-PBE relaxed
# M_tot (Bohr magnetons per cell): 2.17
# Calculated density (Mg/m³): 11.267
# Crystal system: orthorhombic
# E above lowest polymorph (meV/atom): 185
data_LuTaNO
_chemical_formula_sum 'Lu4 Ta4 N4 O4'
_cell_length_a 6.231
_cell_length_b 7.460
_cell_length_c 4.894
_cell_angle_alpha 90.00
_cell_angle_beta 90.00
_cell_angle_gamma 90.00
_symmetry_space_group_name_H-M 'P c a 21'
_symmetry_Int_Tables_number 29
loop_
_symmetry_equiv_pos_as_xyz
'x,y,z'
'-x,-y,z+1/2'
'-x+1/2,y,z+1/2'
'x+1/2,-y,z'
loop_
_atom_site_label
_atom_site_type_symbol
_atom_site_fract_x
_atom_site_fract_y
_atom_site_fract_z
Lu1 Lu 0.069 0.134 0.000
Ta1 Ta 0.130 0.656 0.002
N1 N 0.077 0.144 0.502
O1 O 0.026 0.581 0.579

---

# LuTaNO GGA-PBE relaxed
# M_tot (Bohr magnetons per cell): 0.11
# Calculated density (Mg/m³): 10.965
# Crystal system: orthorhombic
# E above lowest polymorph (meV/atom): 235
data_LuTaNO
_chemical_formula_sum 'Lu2 Ta2 N2 O2'
_cell_length_a 3.219
_cell_length_b 6.006
_cell_length_c 6.047
_cell_angle_alpha 90.00
_cell_angle_beta 90.00
_cell_angle_gamma 90.00
_symmetry_space_group_name_H-M 'P m c 21'
_symmetry_Int_Tables_number 26
loop_
_symmetry_equiv_pos_as_xyz
'x,y,z'
'-x,-y,z+1/2'
'-x,y,z'
'x,-y,z+1/2'
loop_
_atom_site_label
_atom_site_type_symbol
_atom_site_fract_x
_atom_site_fract_y
_atom_site_fract_z
Lu1 Lu 0.000 0.161 0.000
Ta1 Ta 0.500 0.334 0.458
N1 N 0.500 0.388 0.139
O1 O 0.000 0.170 0.650

---

# LuTaNO GGA-PBE relaxed
# M_tot (Bohr magnetons per cell): 0.00
# Calculated density (Mg/m³): 11.232
# Crystal system: orthorhombic
# E above lowest polymorph (meV/atom): 81
data_LuTaNO
_chemical_formula_sum 'Lu2 Ta2 N2 O2'
_cell_length_a 3.370
_cell_length_b 5.954
_cell_length_c 5.688
_cell_angle_alpha 90.00
_cell_angle_beta 90.00
_cell_angle_gamma 90.00
_symmetry_space_group_name_H-M 'P m c 21'
_symmetry_Int_Tables_number 26
loop_
_symmetry_equiv_pos_as_xyz
'x,y,z'
'-x,-y,z+1/2'
'-x,y,z'
'x,-y,z+1/2'
loop_
_atom_site_label
_atom_site_type_symbol
_atom_site_fract_x
_atom_site_fract_y
_atom_site_fract_z
Lu1 Lu 0.000 0.171 0.000
Ta1 Ta 0.500 0.390 0.431
N1 N 0.000 0.195 0.401
O1 O 0.500 0.268 0.790

---

# TbLuNO GGA-PBE relaxed
# M_tot (Bohr magnetons per cell): 0.00
# Calculated density (Mg/m³): 8.117
# Crystal system: tetragonal
# E above lowest polymorph (meV/atom): 418
data_TbLuNO
_chemical_formula_sum 'Tb2 Lu2 N2 O2'
_cell_length_a 4.322
_cell_length_b 4.322
_cell_length_c 7.972
_cell_angle_alpha 90.00
_cell_angle_beta 90.00
_cell_angle_gamma 90.00
_symmetry_space_group_name_H-M 'P 4/n m m'
_symmetry_Int_Tables_number 129
loop_
_symmetry_equiv_pos_as_xyz
'x,y,z'
'-x,-y,-z'
'-y+1/2,x,z'
'y+1/2,-x,-z'
'-x+1/2,-y+1/2,z'
'x+1/2,y+1/2,-z'
'y,-x+1/2,z'
'-y,x+1/2,-z'
'x+1/2,-y,-z'
'-x+1/2,y,z'
'-y,-x,-z'
'y,x,z'
'-x,y+1/2,-z'
'x,-y+1/2,z'
'y+1/2,x+1/2,-z'
'-y+1/2,-x+1/2,z'
loop_
_atom_site_label
_atom_site_type_symbol
_atom_site_fract_x
_atom_site_fract_y
_atom_site_fract_z
Tb1 Tb 0.250 0.250 0.102
Lu1 Lu 0.250 0.750 0.500
N1 N 0.250 0.250 0.568
O1 O 0.250 0.750 0.000

---

# TbLuNO GGA-PBE relaxed
# M_tot (Bohr magnetons per cell): 0.00
# Calculated density (Mg/m³): 11.052
# Crystal system: tetragonal
# E above lowest polymorph (meV/atom): 0
data_TbLuNO
_chemical_formula_sum 'Tb2 Lu2 N2 O2'
_cell_length_a 4.803
_cell_length_b 4.803
_cell_length_c 4.740
_cell_angle_alpha 90.00
_cell_angle_beta 90.00
_cell_angle_gamma 90.00
_symmetry_space_group_name_H-M 'P 4/n m m'
_symmetry_Int_Tables_number 129
loop_
_symmetry_equiv_pos_as_xyz
'x,y,z'
'-x,-y,-z'
'-y+1/2,x,z'
'y+1/2,-x,-z'
'-x+1/2,-y+1/2,z'
'x+1/2,y+1/2,-z'
'y,-x+1/2,z'
'-y,x+1/2,-z'
'x+1/2,-y,-z'
'-x+1/2,y,z'
'-y,-x,-z'
'y,x,z'
'-x,y+1/2,-z'
'x,-y+1/2,z'
'y+1/2,x+1/2,-z'
'-y+1/2,-x+1/2,z'
loop_
_atom_site_label
_atom_site_type_symbol
_atom_site_fract_x
_atom_site_fract_y
_atom_site_fract_z
Tb1 Tb 0.250 0.750 0.000
Lu1 Lu 0.250 0.250 0.500
N1 N 0.250 0.250 0.001
O1 O 0.250 0.750 0.500